# Ir2RhSe

An optimized crystal structure of Ir2RhSe (PBE, the Alexandria database).

Output
- formation energy without anion corrections (eV/atom) = 0.50
- theoretical density (g cm⁻³) = 15.2

Cell lengths 2.747, 4.829, 9.348 Å; angles 90.00, 90.00, 90.00 degrees
Space group Cmmm (No. 65)
Inequivalent atoms, fractional coordinates:
Ir (0.000, 0.000, 0.245) [4 per cell]
Rh (0.000, 0.500, 0.000) [2 per cell]
Se (0.000, 0.500, 0.500) [2 per cell]

---

# ZnRu5

An optimized crystal structure of ZnRu5 (PBE, the Alexandria database).

Output
- formation energy (eV/f.u.) = 0.63
- theoretical density (g cm⁻³) = 11.4

Cell lengths 4.6988, 4.6988, 4.3634 Å; angles 90.00, 90.00, 120.00 degrees
Space group P-62m (No. 189)
Inequivalent atoms, fractional coordinates:
Zn (0.0000, 0.0000, 0.0000) [1 per cell]
Ru (0.0000, 0.6743, 0.5000) [3 per cell]
Ru (0.3333, 0.6667, 0.0000) [2 per cell]

---

# LaY6Er2Th3

An optimized crystal structure of LaY6Er2Th3 (PBE, the Alexandria database).

Output
- formation energy (eV/f.u.) = 0.30
- theoretical density (g cm⁻³) = 7.3

Cell lengths 6.211, 10.759, 11.801 Å; angles 90.00, 100.12, 90.00 degrees
Space group C2/m (No. 12)
Inequivalent atoms, fractional coordinates:
La (0.000, 0.000, 0.000) [2 per cell]
Y (0.247, 0.333, 0.745) [8 per cell]
Y (0.250, 0.000, 0.745) [4 per cell]
Er (0.000, 0.333, 0.000) [4 per cell]
Th (0.000, 0.166, 0.500) [4 per cell]
Th (0.000, 0.500, 0.500) [2 per cell]

---

# CsLiCrCl6

An optimized crystal structure of CsLiCrCl6 (PBE, the Alexandria database).

Output
- formation energy without anion corrections (eV/atom) = -1.34
- theoretical density (g cm⁻³) = 2.4

Cell lengths 6.4381, 6.4381, 7.7526 Å; angles 90.00, 90.00, 120.00 degrees
Space group P312 (No. 149)
Inequivalent atoms, fractional coordinates:
Cs (0.0000, 0.0000, 0.0000) [1 per cell]
Li (0.6667, 0.3333, 0.5000) [1 per cell]
Cr (0.3333, 0.6667, 0.5000) [1 per cell]
Cl (0.0291, 0.3876, 0.6729) [6 per cell]